MnFeOs2F: relaxed, GGA+U.

Output
space group = No. 123
density = 11.2 g/cm3
calculated total energy = -0.46304 Ry/atom

Lattice parameters (Å, degrees): 4.2898 4.2898 4.1151 90.00 90.00 90.00
Fractional coordinates of all 5 atoms:
Mn1 0.0000 0.0000 0.0000
Fe1 0.5000 0.5000 0.0000
Os1 0.0000 0.5000 0.5000
Os2 0.5000 0.0000 0.5000
F1 0.0000 0.0000 0.5000